# 1
# CaMg14Mo

A relaxed CaMg14Mo crystal (PBE-GGA, Alexandria). Values from VASP.

```
&SYSTEM
  ibrav = 0, nat = 16, ntyp = 3
/
ATOMIC_SPECIES
Ca 40.08 Ca.upf
Mg 24.30 Mg.upf
Mo 95.94 Mo.upf
ATOMIC_POSITIONS crystal
Ca 0.000 0.000 0.000
Mg 0.011 0.506 0.000
Mg 0.993 0.497 0.500
Mg 0.494 0.989 0.000
Mg 0.503 0.007 0.500
Mg 0.494 0.506 0.000
Mg 0.503 0.497 0.500
Mg 0.163 0.837 0.269
Mg 0.163 0.837 0.731
Mg 0.163 0.325 0.269
Mg 0.163 0.325 0.731
Mg 0.675 0.837 0.269
Mg 0.675 0.837 0.731
Mg 0.667 0.333 0.239
Mg 0.667 0.333 0.761
Mo 0.000 0.000 0.500
CELL_PARAMETERS angstrom
3.210 -5.560 0.000
3.210 5.560 0.000
0.000 0.000 10.249
```

## Properties
Calculated formation energy   11 kJ/mol of atoms
Space group   P-6m2 (187)
Relative energy among the computed polymorphs   0.00 eV/f.u.
Spin magnetization   1.4 μB per formula unit
Density of states at the Fermi level   0.56 states/eV/atom
Crystal system   hexagonal

# 2
# CaMgMo2

A relaxed CaMgMo2 crystal (PBE-GGA, Alexandria). Values from VASP.

```
&SYSTEM
  ibrav = 0, nat = 4, ntyp = 3
/
ATOMIC_SPECIES
Ca 40.08 Ca.upf
Mg 24.30 Mg.upf
Mo 95.94 Mo.upf
ATOMIC_POSITIONS crystal
Ca 0.500 0.500 0.250
Mg 0.500 0.500 0.750
Mo 0.000 0.000 0.982
Mo 0.000 0.000 0.518
CELL_PARAMETERS angstrom
2.763 0.007 0.000
-0.304 2.746 0.000
0.000 0.000 9.867
```

## Properties
Calculated formation energy   58 kJ/mol of atoms
Space group   Cmmm (65)
Spin magnetization   0.0 μB per formula unit
Density of states at the Fermi level   0.51 states/eV/atom
Crystal system   orthorhombic

# 3
# CaMg2Mo

A relaxed CaMg2Mo crystal (PBE-GGA, Alexandria). Values from VASP.

```
&SYSTEM
  ibrav = 0, nat = 4, ntyp = 3
/
ATOMIC_SPECIES
Ca 40.08 Ca.upf
Mg 24.30 Mg.upf
Mo 95.94 Mo.upf
ATOMIC_POSITIONS crystal
Ca 0.500 0.000 0.500
Mg 0.000 0.000 0.000
Mg 0.000 0.500 0.500
Mo 0.500 0.500 0.000
CELL_PARAMETERS angstrom
4.164 0.000 0.000
0.000 4.574 0.000
0.000 0.000 4.574
```

## Properties
Calculated formation energy   53 kJ/mol of atoms
Space group   P4/mmm (123)
Relative energy among the computed polymorphs   0.73 eV/f.u.
Spin magnetization   0.0 μB per formula unit
Density of states at the Fermi level   0.93 states/eV/atom
Crystal system   tetragonal

# 4
# CaMgMo2

A relaxed CaMgMo2 crystal (PBE-GGA, Alexandria). Values from VASP.

```
&SYSTEM
  ibrav = 0, nat = 4, ntyp = 3
/
ATOMIC_SPECIES
Ca 40.08 Ca.upf
Mg 24.30 Mg.upf
Mo 95.94 Mo.upf
ATOMIC_POSITIONS crystal
Ca 0.250 0.750 0.500
Mg 0.750 0.250 0.500
Mo 0.000 0.000 0.000
Mo 0.500 0.500 0.000
CELL_PARAMETERS angstrom
5.646 0.001 0.000
2.868 4.863 0.000
-4.257 -2.432 2.800
```

## Properties
Calculated formation energy   66 kJ/mol of atoms
Space group   I4/mmm (139)
Spin magnetization   0.0 μB per formula unit
Density of states at the Fermi level   0.67 states/eV/atom
Crystal system   tetragonal

# 5
# Ca2MgMo

A relaxed Ca2MgMo crystal (PBE-GGA, Alexandria). Values from VASP.

```
&SYSTEM
  ibrav = 0, nat = 4, ntyp = 3
/
ATOMIC_SPECIES
Ca 40.08 Ca.upf
Mg 24.30 Mg.upf
Mo 95.94 Mo.upf
ATOMIC_POSITIONS crystal
Ca 0.000 0.000 0.000
Ca 0.250 0.750 0.500
Mg 0.500 0.500 0.000
Mo 0.750 0.250 0.500
CELL_PARAMETERS angstrom
5.264 -0.020 0.000
0.049 5.264 0.000
-2.657 -2.622 3.712
```

## Properties
Calculated formation energy   60 kJ/mol of atoms
Space group   I-4m2 (119)
Spin magnetization   2.2 μB per formula unit
Density of states at the Fermi level   0.95 states/eV/atom
Crystal system   tetragonal

# 6
# CaMgMo2

A relaxed CaMgMo2 crystal (PBE-GGA, Alexandria). Values from VASP.

```
&SYSTEM
  ibrav = 0, nat = 8, ntyp = 3
/
ATOMIC_SPECIES
Mg 24.30 Mg.upf
Mo 95.94 Mo.upf
Ca 40.08 Ca.upf
ATOMIC_POSITIONS crystal
Mg 0.500 0.500 0.000
Mg 0.250 0.750 0.500
Mo 0.472 0.125 0.250
Mo 0.278 0.625 0.250
Mo 0.375 0.528 0.750
Mo 0.875 0.722 0.750
Ca 0.000 0.000 0.000
Ca 0.750 0.250 0.500
CELL_PARAMETERS angstrom
4.373 0.000 0.000
0.000 4.373 0.000
2.187 2.187 10.269
```

## Properties
Calculated formation energy   104 kJ/mol of atoms
Space group   I-42d (122)
Spin magnetization   0.6 μB per formula unit
Density of states at the Fermi level   1.26 states/eV/atom
Crystal system   tetragonal

# 7
# CaMg2Mo

A relaxed CaMg2Mo crystal (PBE-GGA, Alexandria). Values from VASP.

```
&SYSTEM
  ibrav = 0, nat = 4, ntyp = 3
/
ATOMIC_SPECIES
Ca 40.08 Ca.upf
Mg 24.30 Mg.upf
Mo 95.94 Mo.upf
ATOMIC_POSITIONS crystal
Ca 0.500 0.500 0.728
Mg 0.000 0.000 0.017
Mg 0.500 0.500 0.272
Mo 0.000 0.000 0.482
CELL_PARAMETERS angstrom
-2.579 1.198 -0.850
-1.243 -0.862 2.554
2.623 8.609 4.181
```

## Properties
Calculated formation energy   37 kJ/mol of atoms
Space group   P4mm (99)
Relative energy among the computed polymorphs   0.10 eV/f.u.
Spin magnetization   0.0 μB per formula unit
Density of states at the Fermi level   0.64 states/eV/atom
Crystal system   tetragonal

# 8
# CaMgMo2

A relaxed CaMgMo2 crystal (PBE-GGA, Alexandria). Values from VASP.

```
&SYSTEM
  ibrav = 0, nat = 4, ntyp = 3
/
ATOMIC_SPECIES
Ca 40.08 Ca.upf
Mg 24.30 Mg.upf
Mo 95.94 Mo.upf
ATOMIC_POSITIONS crystal
Ca 0.000 0.000 0.479
Mg 0.500 0.500 0.782
Mo 0.000 0.000 0.023
Mo 0.500 0.500 0.216
CELL_PARAMETERS angstrom
2.977 -0.002 0.000
-1.111 2.762 0.000
0.000 0.000 9.913
```

## Properties
Calculated formation energy   42 kJ/mol of atoms
Space group   Cmm2 (35)
Spin magnetization   0.0 μB per formula unit
Density of states at the Fermi level   0.96 states/eV/atom
Crystal system   orthorhombic